# 1
Material: TlRu2Se
Method: DFT, GGA-PBE
State: relaxed

Results
Crystal system: tetragonal
Uncorrected formation energy, eV/atom: 0.516
Density, Mg/m³: 12.00
V, Å³ per atom: 16.80
Energy above the most stable polymorph in this dataset, eV/atom: 0.232
Total energy, eV per formula unit: -22.34

Cell lengths 4.568, 4.568, 3.220 Å; angles 90.00, 90.00, 90.00 degrees
Space group P4/mmm (No. 123)
Inequivalent atoms, fractional coordinates:
Tl 0.000 0.000 0.000
Ru 0.000 0.500 0.500
Se 0.500 0.500 0.000

***

# 2
Material: LaRuF2
Method: DFT, GGA-PBE
State: relaxed

Results
Crystal system: trigonal
Uncorrected formation energy, eV/atom: -1.353
Density, Mg/m³: 6.94
V, Å³ per atom: 16.63
Energy above the most stable polymorph in this dataset, eV/atom: 0.258
Total energy, eV per formula unit: -23.36

Cell lengths 3.1472, 3.1472, 23.2575 Å; angles 90.00, 90.00, 120.00 degrees
Space group R-3m (No. 166, hexagonal axes)
Inequivalent atoms, fractional coordinates:
La 0.0000 0.0000 0.0000
Ru 0.0000 0.0000 0.5000
F 0.0000 0.0000 0.4088

***

# 3
Material: Zr4GaBi2
Method: DFT, GGA-PBE
State: relaxed

Results
Crystal system: tetragonal
Density, Mg/m³: 7.62
V, Å³ per atom: 26.55
Formation energy, meV per atom: 92
Total energy, eV per formula unit: -44.34

Cell lengths 4.891, 4.891, 15.540 Å; angles 90.00, 90.00, 90.00 degrees
Space group I4/mmm (No. 139)
Inequivalent atoms, fractional coordinates:
Zr 0.000 0.000 0.167
Zr 0.000 0.500 0.000
Ga 0.000 0.000 0.000
Bi 0.000 0.000 0.360